Below is a geometry-optimized GdSbAsO structure, with properties calculated at the PBE-GGA level.

Cell lengths 4.0745, 4.0745, 10.4292 Å; angles 90.00, 90.00, 90.00 degrees
Closest atoms and distances in Å follow each position.
Fractional coordinates of all 8 atoms:
As (0.0000, 0.5000, 0.2701)  4 Sb 3.15, 4 Gd 3.37, 4 O 3.48
As (0.5000, 0.0000, 0.7299)  4 Sb 3.15, 4 Gd 3.37, 4 O 3.48
Gd (0.5000, 0.0000, 0.1017)  4 O 2.30
Gd (0.0000, 0.5000, 0.8983)  4 O 2.30
O (0.0000, 0.0000, 0.0000)  4 Gd 2.30
O (0.5000, 0.5000, 0.0000)  4 Gd 2.30
Sb (0.0000, 0.0000, 0.5000)  4 Sb 2.88, 4 As 3.15
Sb (0.5000, 0.5000, 0.5000)  4 Sb 2.88, 4 As 3.15

* V: 173 Å³/cell
* energy above the lowest structure with this stoichiometry: 0.00 kcal/mol of atoms
* mass density: 7.10 g/cm3
* magnetization: 0.0 Bohr magnetons per cell
* total energy: -5.9911 eV per atom
* space group: P4/nmm


Below is a geometry-optimized Tm3Ag4Sn4 structure, with properties calculated at the PBE-GGA level.

Cell lengths 8.7164, 8.7164, 8.7164 Å; angles 149.82, 130.25, 59.30 degrees
Closest atoms and distances in Å follow each position.
Fractional coordinates of all 11 atoms:
Ag (0.5285, 0.3271, 0.2014)  4 Sn 2.72-2.79, 1 Ag 2.95
Ag (0.8743, 0.6729, 0.2014)  4 Sn 2.72-2.79, 1 Ag 2.95
Ag (0.1257, 0.3271, 0.7986)  4 Sn 2.72-2.79, 1 Ag 2.95
Ag (0.4715, 0.6729, 0.7986)  4 Sn 2.72-2.79, 1 Ag 2.95
Sn (0.8022, 0.5000, 0.3022)  2 Ag 2.72, 1 Sn 2.90
Sn (0.7128, 0.2128, 0.5000)  6 Ag 2.77-2.79
Sn (0.2872, 0.7872, 0.5000)  6 Ag 2.77-2.79
Sn (0.1978, 0.5000, 0.6978)  2 Ag 2.72, 1 Sn 2.90
Tm (0.1263, 0.1263, 0.0000)  6 Ag 3.23-3.38, 6 Sn 3.30-3.33
Tm (0.8737, 0.8737, 0.0000)  6 Ag 3.23-3.38, 6 Sn 3.30-3.33
Tm (0.5000, 0.0000, 0.5000)  6 Sn 3.17-3.22

* V: 252 Å³/cell
* mass density: 9.31 g/cm3
* magnetization: 0.0 Bohr magnetons per cell
* total energy: -4.1324 eV per atom
* space group: Immm


Below is a geometry-optimized Er2Mg3Pd2 structure, with properties calculated at the PBE-GGA level.

Cell lengths 10.7486, 10.7486, 3.5930 Å; angles 90.00, 90.00, 157.41 degrees
Closest atoms and distances in Å follow each position.
Fractional coordinates of all 7 atoms:
Er (0.8268, 0.1732, 0.0000)  6 Pd 2.85-3.13
Er (0.1732, 0.8268, 0.0000)  6 Pd 2.85-3.13
Mg (0.0000, 0.0000, 0.0000)  8 Mg 3.19
Mg (0.5755, 0.4245, 0.5000)  1 Pd 2.73
Mg (0.4245, 0.5755, 0.5000)  1 Pd 2.73
Pd (0.7051, 0.2949, 0.5000)  1 Mg 2.73, 2 Pd 2.83, 4 Er 2.85
Pd (0.2949, 0.7051, 0.5000)  1 Mg 2.73, 2 Pd 2.83, 4 Er 2.85

* V: 159 Å³/cell
* mass density: 6.46 g/cm3
* magnetization: 0.0 Bohr magnetons per cell
* total energy: -3.9811 eV per atom
* space group: Cmmm


Please write out number 1 again, unchanged.
Below is a geometry-optimized GdSbAsO structure, with properties calculated at the PBE-GGA level.

Cell lengths 4.0745, 4.0745, 10.4292 Å; angles 90.00, 90.00, 90.00 degrees
Closest atoms and distances in Å follow each position.
Fractional coordinates of all 8 atoms:
As (0.0000, 0.5000, 0.2701)  4 Sb 3.15, 4 Gd 3.37, 4 O 3.48
As (0.5000, 0.0000, 0.7299)  4 Sb 3.15, 4 Gd 3.37, 4 O 3.48
Gd (0.5000, 0.0000, 0.1017)  4 O 2.30
Gd (0.0000, 0.5000, 0.8983)  4 O 2.30
O (0.0000, 0.0000, 0.0000)  4 Gd 2.30
O (0.5000, 0.5000, 0.0000)  4 Gd 2.30
Sb (0.0000, 0.0000, 0.5000)  4 Sb 2.88, 4 As 3.15
Sb (0.5000, 0.5000, 0.5000)  4 Sb 2.88, 4 As 3.15

* V: 173 Å³/cell
* energy above the lowest structure with this stoichiometry: 0.00 kcal/mol of atoms
* mass density: 7.10 g/cm3
* magnetization: 0.0 Bohr magnetons per cell
* total energy: -5.9911 eV per atom
* space group: P4/nmm